[1]
VASP calculation (PBE) on an optimized crystal structure of Ca3CdAg2.

Values from the calculation:
Calculated formation energy = -318 meV per atom
Energy = -2.421 eV per atom

a = 8.453 Å, b = 8.453 Å, c = 3.719 Å
α = 90.00°, β = 90.00°, γ = 143.29°
Positions (direct):
Ca1 0.000 0.000 0.000
Ca2 0.329 0.671 0.000
Ca3 0.671 0.329 0.000
Cd1 0.500 0.500 0.500
Ag1 0.163 0.837 0.500
Ag2 0.837 0.163 0.500

***

[2]
VASP calculation (PBE) on an optimized crystal structure of TiRhPb3.

Values from the calculation:
Calculated formation energy = 655 meV per atom
Energy = -4.619 eV per atom

a = 5.249 Å, b = 5.249 Å, c = 5.249 Å
α = 90.00°, β = 90.00°, γ = 90.00°
Positions (direct):
Ti1 0.000 0.000 0.000
Rh1 0.500 0.500 0.500
Pb1 0.000 0.500 0.500
Pb2 0.500 0.000 0.500
Pb3 0.500 0.500 0.000

***

[3]
VASP calculation (PBE) on an optimized crystal structure of ZnGePd.

Values from the calculation:
Calculated formation energy = -256 meV per atom
Energy = -3.951 eV per atom

a = 4.225 Å, b = 4.225 Å, c = 4.225 Å
α = 60.00°, β = 60.00°, γ = 60.00°
Positions (direct):
Zn1 0.000 0.000 0.000
Ge1 0.500 0.500 0.500
Pd1 0.250 0.250 0.250

***

[4]
VASP calculation (PBE) on an optimized crystal structure of Th2Al7Ag12.

Values from the calculation:
Calculated formation energy = -134 meV per atom
Energy = -3.718 eV per atom

a = 10.385 Å, b = 10.385 Å, c = 4.295 Å
α = 90.00°, β = 90.00°, γ = 120.00°
Positions (direct):
Th1 0.000 0.000 0.000
Th2 0.333 0.667 0.500
Al1 0.050 0.461 0.000
Al2 0.252 0.228 0.500
Al3 0.411 0.950 0.000
Al4 0.539 0.589 0.000
Al5 0.667 0.333 0.000
Al6 0.772 0.023 0.500
Al7 0.977 0.748 0.500
Ag1 0.033 0.283 0.500
Ag2 0.130 0.741 0.000
Ag3 0.250 0.967 0.500
Ag4 0.259 0.389 0.000
Ag5 0.380 0.193 0.000
Ag6 0.559 0.428 0.500
Ag7 0.572 0.131 0.500
Ag8 0.611 0.870 0.000
Ag9 0.717 0.750 0.500
Ag10 0.807 0.187 0.000
Ag11 0.813 0.620 0.000
Ag12 0.869 0.441 0.500

***

[5]
VASP calculation (PBE) on an optimized crystal structure of BeIn.

Values from the calculation:
Calculated formation energy = 286 meV per atom
Energy = -2.947 eV per atom

a = 3.846 Å, b = 3.846 Å, c = 5.869 Å
α = 90.00°, β = 90.00°, γ = 120.00°
Positions (direct):
Be1 0.333 0.667 0.000
Be2 0.667 0.333 0.000
In1 0.000 0.000 0.259
In2 0.000 0.000 0.741

***

[6]
VASP calculation (PBE) on an optimized crystal structure of AsC3.

Values from the calculation:
Calculated formation energy = 762 meV per atom
Energy = -7.318 eV per atom

a = 7.304 Å, b = 5.411 Å, c = 5.120 Å
α = 90.00°, β = 90.00°, γ = 90.00°
Positions (direct):
As1 0.233 0.250 0.044
As2 0.267 0.750 0.544
As3 0.733 0.250 0.456
As4 0.767 0.750 0.956
C1 0.083 0.022 0.562
C2 0.083 0.478 0.562
C3 0.144 0.250 0.672
C4 0.356 0.750 0.172
C5 0.417 0.522 0.062
C6 0.417 0.978 0.062
C7 0.583 0.022 0.938
C8 0.583 0.478 0.938
C9 0.644 0.250 0.828
C10 0.856 0.750 0.328
C11 0.917 0.522 0.438
C12 0.917 0.978 0.438

***

[7]
VASP calculation (PBE) on an optimized crystal structure of ScAs2Ir.

Values from the calculation:
Calculated formation energy = -523 meV per atom
Energy = -6.646 eV per atom

a = 4.953 Å, b = 4.953 Å, c = 4.694 Å
α = 104.19°, β = 104.19°, γ = 38.26°
Positions (direct):
Sc1 0.000 0.000 0.000
As1 0.262 0.262 0.899
As2 0.502 0.502 0.510
Ir1 0.778 0.778 0.357

***

[8]
VASP calculation (PBE) on an optimized crystal structure of NdHo4Ga5.

Values from the calculation:
Calculated formation energy = -577 meV per atom
Energy = -4.398 eV per atom

a = 3.579 Å, b = 3.579 Å, c = 17.935 Å
α = 90.00°, β = 90.00°, γ = 90.00°
Positions (direct):
Nd1 0.000 0.000 0.000
Ho1 0.000 0.000 0.206
Ho2 0.000 0.000 0.402
Ho3 0.000 0.000 0.598
Ho4 0.000 0.000 0.794
Ga1 0.500 0.500 0.109
Ga2 0.500 0.500 0.304
Ga3 0.500 0.500 0.500
Ga4 0.500 0.500 0.696
Ga5 0.500 0.500 0.891

***

[9]
VASP calculation (PBE) on an optimized crystal structure of Ba2YZr.

Values from the calculation:
Calculated formation energy = 316 meV per atom
Energy = -4.399 eV per atom

a = 3.716 Å, b = 3.716 Å, c = 11.434 Å
α = 90.00°, β = 90.00°, γ = 90.00°
Positions (direct):
Ba1 0.000 0.000 0.000
Ba2 0.500 0.500 0.317
Y1 0.000 0.000 0.590
Zr1 0.500 0.500 0.764

***

[10]
VASP calculation (PBE) on an optimized crystal structure of PuTl2Pb.

Values from the calculation:
Calculated formation energy = 55 meV per atom
Energy = -5.638 eV per atom

a = 5.509 Å, b = 5.509 Å, c = 5.509 Å
α = 60.00°, β = 60.00°, γ = 60.00°
Positions (direct):
Pu1 0.000 0.000 0.000
Tl1 0.500 0.500 0.500
Tl2 0.750 0.750 0.750
Pb1 0.250 0.250 0.250

***

[11]
VASP calculation (PBE) on an optimized crystal structure of CsK2AsF6.

Values from the calculation:
ΔE_f (raw) = -2.531 eV/atom
Energy = -4.423 eV per atom

a = 6.397 Å, b = 6.931 Å, c = 11.141 Å
α = 90.00°, β = 123.94°, γ = 90.00°
Positions (direct):
Cs1 0.000 0.000 0.000
Cs2 0.000 0.500 0.500
K1 0.219 0.032 0.726
K2 0.219 0.468 0.226
K3 0.781 0.532 0.774
K4 0.781 0.968 0.274
As1 0.500 0.000 0.500
As2 0.500 0.500 0.000
F1 0.199 0.147 0.478
F2 0.199 0.353 0.978
F3 0.250 0.730 0.889
F4 0.250 0.770 0.389
F5 0.424 0.115 0.306
F6 0.424 0.385 0.806
F7 0.576 0.615 0.194
F8 0.576 0.885 0.694
F9 0.750 0.230 0.611
F10 0.750 0.270 0.111
F11 0.801 0.647 0.022
F12 0.801 0.853 0.522

***

[12]
VASP calculation (PBE) on an optimized crystal structure of Pr4Dy2YSc.

Values from the calculation:
Calculated formation energy = 28 meV per atom
Energy = -5.112 eV per atom

a = 5.141 Å, b = 5.141 Å, c = 9.947 Å
α = 90.00°, β = 90.00°, γ = 90.00°
Positions (direct):
Pr1 0.000 0.500 0.244
Pr2 0.000 0.500 0.756
Pr3 0.500 0.000 0.244
Pr4 0.500 0.000 0.756
Dy1 0.000 0.000 0.000
Dy2 0.500 0.500 0.500
Y1 0.000 0.000 0.500
Sc1 0.500 0.500 0.000